# PBE HfW3Cl, optimized geometry
data_HfW3Cl
_chemical_formula_sum 'Hf1 W3 Cl1'
_space_group_name_H-M_alt 'P m -3 m'
_space_group_IT_number 221
_space_group_name_Hall '-P 4 2 3'
_cell_length_a 4.4550
_cell_length_b 4.4550
_cell_length_c 4.4550
_cell_angle_alpha 90.00
_cell_angle_beta 90.00
_cell_angle_gamma 90.00
loop_
_atom_site_label
_atom_site_type_symbol
_atom_site_fract_x
_atom_site_fract_y
_atom_site_fract_z
_atom_site_occupancy
Hf1 Hf 0.0000 0.0000 0.0000 1
W1 W 0.0000 0.5000 0.5000 1
Cl1 Cl 0.5000 0.5000 0.5000 1
# * crystal system: cubic
# * polymorph energy (0 for the lowest one): 0 meV/atom
# * raw formation energy: 586 kJ/mol of formula units